No. 1
Material: La3Nd6Y2
Method: DFT, PBE
State: optimized geometry

Calculated values
E_tot ... -4.663 eV per atom
Energy of formation ... 0.4563 eV/atom

a = 5.9372 Å, b = 5.9372 Å, c = 12.2757 Å
α = 103.99°, β = 103.99°, γ = 90.00°
Last column: nearest neighbours and their distance in Å.
Atoms (fractional coordinates):
La (0.0000, 0.0000, 0.0000)  2 La 3.55, 8 Nd 3.94
La (0.8461, 0.8461, 0.6921)  5 Nd 3.03-3.12
La (0.1539, 0.1539, 0.3079)  5 Nd 3.03-3.12
Nd (0.1126, 0.6126, 0.2252)  2 La 3.12, 2 Y 3.17
Nd (0.6126, 0.1126, 0.2252)  2 La 3.12, 2 Y 3.17
Nd (0.8874, 0.3874, 0.7748)  2 La 3.12, 2 Y 3.17
Nd (0.3874, 0.8874, 0.7748)  2 La 3.12, 2 Y 3.17
Nd (0.7145, 0.7145, 0.4291)  1 La 3.03
Nd (0.2855, 0.2855, 0.5709)  1 La 3.03
Y (0.4355, 0.4355, 0.8710)  1 Y 2.98, 4 Nd 3.17
Y (0.5645, 0.5645, 0.1290)  1 Y 2.98, 4 Nd 3.17

=====

No. 2
Material: LaNd5Y6
Method: DFT, PBE
State: optimized geometry

Calculated values
Energy relative to the lowest polymorph listed for this composition ... 0 meV/atom
E_tot ... -5.621 eV per atom
Energy of formation ... 0.0081 eV/atom

a = 11.9120 Å, b = 6.3111 Å, c = 6.3093 Å
α = 59.99°, β = 84.96°, γ = 79.88°
Last column: nearest neighbours and their distance in Å.
Atoms (fractional coordinates):
La (0.0000, 0.0000, 0.0000)  6 Y 3.62, 6 Nd 3.64
Nd (0.5000, 0.1668, 0.6664)  6 Y 3.60, 6 Nd 3.64-3.65
Nd (0.0000, 0.3333, 0.3335)  6 Y 3.61-3.62, 3 La 3.64, 3 Nd 3.64
Nd (0.5000, 0.5000, 0.0000)  6 Y 3.59-3.60, 6 Nd 3.64
Nd (0.0000, 0.6667, 0.6665)  6 Y 3.61-3.62, 3 La 3.64, 3 Nd 3.64
Nd (0.5000, 0.8332, 0.3336)  6 Y 3.60, 6 Nd 3.64-3.65
Y (0.7492, 0.0831, 0.3340)  5 Nd 3.60-3.62, 1 La 3.62, 6 Y 3.64-3.65
Y (0.2508, 0.5829, 0.3340)  5 Nd 3.60-3.62, 1 La 3.62, 6 Y 3.64-3.65
Y (0.2508, 0.2510, 0.0000)  5 Nd 3.59-3.61, 1 La 3.62, 6 Y 3.64-3.65
Y (0.7492, 0.7490, 0.0000)  5 Nd 3.59-3.61, 1 La 3.62, 6 Y 3.64-3.65
Y (0.7492, 0.4171, 0.6660)  5 Nd 3.60-3.62, 1 La 3.62, 6 Y 3.64-3.65
Y (0.2508, 0.9169, 0.6660)  5 Nd 3.60-3.62, 1 La 3.62, 6 Y 3.64-3.65

=====

No. 3
Material: La6Nd7Y16
Method: DFT, PBE
State: optimized geometry

Calculated values
E_tot ... -5.519 eV per atom
Energy of formation ... 0.2179 eV/atom

a = 11.4491 Å, b = 11.4491 Å, c = 11.4491 Å
α = 60.00°, β = 60.00°, γ = 60.00°
Last column: nearest neighbours and their distance in Å.
Atoms (fractional coordinates):
La (0.2478, 0.7522, 0.2478)  8 Y 3.55-3.83
La (0.7522, 0.2478, 0.7522)  8 Y 3.55-3.83
La (0.7522, 0.2478, 0.2478)  8 Y 3.55-3.83
La (0.2478, 0.7522, 0.7522)  8 Y 3.55-3.83
La (0.7522, 0.7522, 0.2478)  8 Y 3.55-3.83
La (0.2478, 0.2478, 0.7522)  8 Y 3.55-3.83
Nd (0.0000, 0.0000, 0.0000)  8 Y 3.67, 6 La 4.01
Nd (0.5000, 0.0000, 0.5000)  8 Y 3.33-3.45
Nd (0.0000, 0.5000, 0.0000)  8 Y 3.33-3.45
Nd (0.0000, 0.5000, 0.5000)  8 Y 3.33-3.45
Nd (0.5000, 0.0000, 0.0000)  8 Y 3.33-3.45
Nd (0.0000, 0.0000, 0.5000)  8 Y 3.33-3.45
Nd (0.5000, 0.5000, 0.0000)  8 Y 3.33-3.45
Y (0.8690, 0.8690, 0.3930)  4 Nd 3.45-3.67, 3 La 3.55, 3 Y 3.55
Y (0.8690, 0.8690, 0.8690)  4 Nd 3.45-3.67, 3 La 3.55, 3 Y 3.55
Y (0.8690, 0.3930, 0.8690)  4 Nd 3.45-3.67, 3 La 3.55, 3 Y 3.55
Y (0.3930, 0.8690, 0.8690)  4 Nd 3.45-3.67, 3 La 3.55, 3 Y 3.55
Y (0.1310, 0.1310, 0.1310)  4 Nd 3.45-3.67, 3 La 3.55, 3 Y 3.55
Y (0.1310, 0.1310, 0.6070)  4 Nd 3.45-3.67, 3 La 3.55, 3 Y 3.55
Y (0.1310, 0.6070, 0.1310)  4 Nd 3.45-3.67, 3 La 3.55, 3 Y 3.55
Y (0.6070, 0.1310, 0.1310)  4 Nd 3.45-3.67, 3 La 3.55, 3 Y 3.55
Y (0.6515, 0.6515, 0.0455)  3 Nd 3.33, 3 Y 3.55
Y (0.6515, 0.6515, 0.6515)  3 Nd 3.33, 3 Y 3.55
Y (0.6515, 0.0455, 0.6515)  3 Nd 3.33, 3 Y 3.55
Y (0.0455, 0.6515, 0.6515)  3 Nd 3.33, 3 Y 3.55
Y (0.3485, 0.3485, 0.3485)  3 Nd 3.33, 3 Y 3.55
Y (0.3485, 0.3485, 0.9545)  3 Nd 3.33, 3 Y 3.55
Y (0.3485, 0.9545, 0.3485)  3 Nd 3.33, 3 Y 3.55
Y (0.9545, 0.3485, 0.3485)  3 Nd 3.33, 3 Y 3.55

=====

No. 4
Material: LaNd5Y8
Method: DFT, PBE
State: optimized geometry

Calculated values
E_tot ... -5.523 eV per atom
Energy of formation ... 0.2256 eV/atom

a = 8.5526 Å, b = 8.5526 Å, c = 8.5526 Å
α = 111.08°, β = 111.08°, γ = 106.30°
Last column: nearest neighbours and their distance in Å.
Atoms (fractional coordinates):
La (0.2500, 0.7500, 0.5000)  8 Y 3.15-3.39
Nd (0.8871, 0.2838, 0.8230)  8 Y 3.42-3.60, 2 Nd 3.63
Nd (0.7162, 0.5393, 0.6033)  8 Y 3.42-3.60, 2 Nd 3.63
Nd (0.4607, 0.0640, 0.1770)  8 Y 3.42-3.60, 2 Nd 3.63
Nd (0.5000, 0.5000, 0.0000)  4 Y 3.24
Nd (0.9360, 0.1129, 0.3967)  8 Y 3.42-3.60, 2 Nd 3.63
Y (0.0248, 0.7777, 0.1020)  1 La 3.39, 4 Nd 3.46-3.59, 3 Y 3.66-3.69
Y (0.2223, 0.3243, 0.2471)  1 La 3.39, 4 Nd 3.46-3.59, 3 Y 3.66-3.69
Y (0.5791, 0.8194, 0.4071)  1 La 3.15, 3 Nd 3.24-3.46
Y (0.1806, 0.5877, 0.7597)  1 La 3.15, 3 Nd 3.24-3.46
Y (0.8280, 0.4209, 0.2403)  1 La 3.15, 3 Nd 3.24-3.46
Y (0.0772, 0.9752, 0.7529)  1 La 3.39, 4 Nd 3.46-3.59, 3 Y 3.66-3.69
Y (0.6757, 0.9228, 0.8980)  1 La 3.39, 4 Nd 3.46-3.59, 3 Y 3.66-3.69
Y (0.4123, 0.1720, 0.5929)  1 La 3.15, 3 Nd 3.24-3.46

=====

No. 5
Material: La3Nd7Y
Method: DFT, PBE
State: optimized geometry

Calculated values
Energy relative to the lowest polymorph listed for this composition ... 12 meV/atom
E_tot ... -4.742 eV per atom
Energy of formation ... 0.2236 eV/atom

a = 6.0278 Å, b = 8.6911 Å, c = 8.6911 Å
α = 82.52°, β = 110.29°, γ = 110.29°
Last column: nearest neighbours and their distance in Å.
Atoms (fractional coordinates):
La (0.0000, 0.7875, 0.2125)  5 Nd 3.30-3.61
La (0.5000, 0.0000, 0.0000)  4 Nd 3.29
La (0.0000, 0.2125, 0.7875)  5 Nd 3.30-3.61
Nd (0.2085, 0.2081, 0.2081)  1 Y 3.38, 2 La 3.43, 2 Nd 3.56
Nd (0.3004, 0.0039, 0.5969)  2 La 3.29-3.61, 3 Nd 3.40-3.56
Nd (0.6996, 0.4031, 0.9961)  2 La 3.29-3.61, 3 Nd 3.40-3.56
Nd (0.3004, 0.5969, 0.0039)  2 La 3.29-3.61, 3 Nd 3.40-3.56
Nd (0.0000, 0.5000, 0.5000)  2 Y 3.01, 2 La 3.30
Nd (0.6996, 0.9961, 0.4031)  2 La 3.29-3.61, 3 Nd 3.40-3.56
Nd (0.7915, 0.7919, 0.7919)  1 Y 3.38, 2 La 3.43, 2 Nd 3.56
Y (0.5000, 0.5000, 0.5000)  2 Nd 3.01

=====

No. 6
Material: La3Nd2Y13
Method: DFT, PBE
State: optimized geometry

Calculated values
E_tot ... -5.729 eV per atom
Energy of formation ... 0.2906 eV/atom

a = 6.5924 Å, b = 6.5924 Å, c = 17.3432 Å
α = 90.00°, β = 90.00°, γ = 120.00°
Last column: nearest neighbours and their distance in Å.
Atoms (fractional coordinates):
La (0.0000, 0.0000, 0.3319)  6 Y 3.81
La (0.0000, 0.0000, 0.6681)  6 Y 3.81
La (0.0000, 0.0000, 0.0000)  6 Nd 3.81
Nd (0.3333, 0.6667, 0.0000)  6 Y 3.48, 3 Nd 3.81, 3 La 3.81
Nd (0.6667, 0.3333, 0.0000)  6 Y 3.48, 3 Nd 3.81, 3 La 3.81
Y (0.5000, 0.0000, 0.5000)  8 Y 3.30-3.45
Y (0.0000, 0.5000, 0.5000)  8 Y 3.30-3.45
Y (0.5000, 0.5000, 0.5000)  8 Y 3.30-3.45
Y (0.3333, 0.6667, 0.3342)  9 Y 3.45-3.81, 3 La 3.81
Y (0.6667, 0.3333, 0.6658)  9 Y 3.45-3.81, 3 La 3.81
Y (0.6667, 0.3333, 0.3342)  9 Y 3.45-3.81, 3 La 3.81
Y (0.3333, 0.6667, 0.6658)  9 Y 3.45-3.81, 3 La 3.81
Y (0.5000, 0.0000, 0.8317)  6 Y 3.30-3.45, 2 Nd 3.48
Y (0.5000, 0.0000, 0.1683)  6 Y 3.30-3.45, 2 Nd 3.48
Y (0.0000, 0.5000, 0.8317)  6 Y 3.30-3.45, 2 Nd 3.48
Y (0.0000, 0.5000, 0.1683)  6 Y 3.30-3.45, 2 Nd 3.48
Y (0.5000, 0.5000, 0.8317)  6 Y 3.30-3.45, 2 Nd 3.48
Y (0.5000, 0.5000, 0.1683)  6 Y 3.30-3.45, 2 Nd 3.48

=====

No. 7
Material: LaNdY
Method: DFT, PBE
State: optimized geometry

Calculated values
Energy relative to the lowest polymorph listed for this composition ... 180 meV/atom
E_tot ... -5.190 eV per atom
Energy of formation ... 0.1961 eV/atom

a = 3.5504 Å, b = 3.5504 Å, c = 9.9211 Å
α = 79.69°, β = 79.69°, γ = 60.00°
Last column: nearest neighbours and their distance in Å.
Atoms (fractional coordinates):
Y (0.2522, 0.2522, 0.2433)  1 Nd 3.36, 3 La 3.54, 6 Y 3.55
La (0.0182, 0.0182, 0.9454)  1 Nd 3.46, 3 Y 3.54, 6 La 3.55
Nd (0.1369, 0.1369, 0.5894)  1 Y 3.36, 1 La 3.46, 6 Nd 3.55

=====

No. 8
Material: La3Nd4Y4
Method: DFT, PBE
State: optimized geometry

Calculated values
Energy relative to the lowest polymorph listed for this composition ... 27 meV/atom
E_tot ... -5.257 eV per atom
Energy of formation ... 0.1716 eV/atom

a = 3.6113 Å, b = 11.5203 Å, c = 11.2782 Å
α = 120.71°, β = 99.21°, γ = 90.00°
Last column: nearest neighbours and their distance in Å.
Atoms (fractional coordinates):
La (0.8966, 0.8966, 0.7931)  3 La 3.61-3.94, 6 Y 3.64-3.73, 4 Nd 3.71
La (0.1034, 0.1034, 0.2069)  3 La 3.61-3.94, 6 Y 3.64-3.73, 4 Nd 3.71
La (0.0000, 0.5000, 0.0000)  2 La 3.61, 4 Y 3.75
Nd (0.6700, 0.4292, 0.3399)  4 Y 3.28-3.59, 4 Nd 3.55-3.61
Nd (0.3300, 0.0893, 0.6601)  4 Y 3.28-3.59, 4 Nd 3.55-3.61
Nd (0.3300, 0.5708, 0.6601)  4 Y 3.28-3.59, 4 Nd 3.55-3.61
Nd (0.6700, 0.9107, 0.3399)  4 Y 3.28-3.59, 4 Nd 3.55-3.61
Y (0.7748, 0.2748, 0.5497)  6 Nd 3.47-3.59, 2 Y 3.61, 2 La 3.73
Y (0.2252, 0.7252, 0.4503)  6 Nd 3.47-3.59, 2 Y 3.61, 2 La 3.73
Y (0.5000, 0.7855, 0.0000)  2 Nd 3.28, 2 Y 3.61, 4 La 3.64
Y (0.5000, 0.2145, 0.0000)  2 Nd 3.28, 2 Y 3.61, 4 La 3.64

=====

No. 9
Material: LaNdY
Method: DFT, PBE
State: optimized geometry

Calculated values
Energy relative to the lowest polymorph listed for this composition ... 38 meV/atom
E_tot ... -5.332 eV per atom
Energy of formation ... 0.0548 eV/atom

a = 5.7999 Å, b = 6.8111 Å, c = 6.8108 Å
α = 95.04°, β = 115.21°, γ = 115.21°
Last column: nearest neighbours and their distance in Å.
Atoms (fractional coordinates):
La (0.5526, 0.4548, 0.2959)  2 La 3.25, 3 Y 3.41-3.57
La (0.0528, 0.3082, 0.4427)  2 La 3.25, 3 Y 3.41-3.57
Nd (0.3050, 0.8814, 0.3695)  2 Nd 3.57, 6 La 3.71-3.85, 6 Y 3.77-3.83
Nd (0.8050, 0.3816, 0.8693)  2 Nd 3.57, 6 La 3.71-3.85, 6 Y 3.77-3.83
Y (0.0558, 0.9689, 0.7820)  2 Y 3.39, 3 La 3.41-3.57, 4 Nd 3.77-3.78
Y (0.5559, 0.7942, 0.9569)  2 Y 3.39, 3 La 3.41-3.57, 4 Nd 3.77-3.78

=====

Here are the calculated ρ numbers, same order: 5.96; 5.72; 5.11; 5.43; 6.28; 4.73; 5.83; 5.65; 5.94 (g/cm³).